No. 1
TbAgAu2 | PBE-GGA | relaxed

POSCAR file:
```
TbAgAu2
1.0
3.585 0.000 0.000
0.000 3.585 0.000
0.000 0.000 6.450
Tb Ag Au
1 1 2
Cartesian
0.000 0.000 0.000 Tb
0.000 0.000 3.225 Ag
1.792 1.792 1.718 Au
1.792 1.792 4.732 Au
```

Formation energy ... -53 kJ per mole of atoms
Crystal system ... tetragonal

No. 2
RbNaNpN3 | PBE-GGA | relaxed

POSCAR file:
```
RbNaNpN3
1.0
3.052 -6.271 0.000
3.052 6.271 0.000
-0.799 0.000 5.924
Rb Na Np N
2 2 2 6
Cartesian
2.452 3.221 4.443 Rb
2.852 -3.221 1.481 Rb
2.852 5.351 1.481 Na
2.452 -5.351 4.443 Na
2.852 0.842 1.481 Np
2.452 -0.842 4.443 Np
1.488 0.516 2.930 N
2.852 2.731 1.481 N
1.088 -0.516 5.892 N
4.215 0.516 0.032 N
2.452 -2.731 4.443 N
3.816 -0.516 2.994 N
```

Formation energy (no corrections) ... -43 kJ per mole of atoms
Crystal system ... monoclinic

Quick rundown of total magnetization, same order as above: 0.00, 0.00 μB per atom